This record from Alexandria via LeMat-Bulk describes ScZnPt at its PBEsol-relaxed geometry. The functional is SCAN.

Summary:
The calculated density is 8.8 g/cm3. Its density of states at the Fermi level is 1.35 states/eV per cell. Its calculated formation energy is -925 meV per atom.

Cell lengths 4.3347, 4.3347, 4.3347 Å; angles 60.00, 60.00, 60.00 degrees
Fractional coordinates of all 3 atoms:
Pt  0.2500  0.2500  0.2500
Sc  0.0000  0.0000  0.0000
Zn  0.5000  0.5000  0.5000